The following is a DFT calculation (GGA-PBE) of an optimized crystal structure of BaTeIr2.

D(E_F) ... 4.2 states/eV per cell
E_form (uncorrected) ... 0.39 eV/f.u.
Space-group type ... No. 44

a = 5.988 Å, b = 5.988 Å, c = 5.988 Å
α = 142.29°, β = 120.18°, γ = 72.91°
Element x y z (fractional)
Ir (0.912, 0.912, 0.000)
Ir (0.761, 0.261, 0.500)
Ba (0.260, 0.760, 0.500)
Te (0.567, 0.567, 0.000)



The following is a DFT calculation (GGA-PBE) of an optimized crystal structure of Dy3Er6Cd.

Energy above the lowest structure with this stoichiometry ... 0.000 eV per atom
D(E_F) ... 27.2 states/eV per cell
Space-group type ... No. 11
Formation energy ... -16.3 meV per atom

a = 4.965 Å, b = 10.870 Å, c = 11.088 Å
α = 91.45°, β = 90.00°, γ = 90.00°
Element x y z (fractional)
Er (0.750, 0.137, 0.685)
Er (0.250, 0.235, 0.494)
Er (0.250, 0.153, 0.191)
Er (0.250, 0.863, 0.315)
Er (0.250, 0.654, 0.702)
Er (0.750, 0.551, 0.898)
Er (0.750, 0.954, 0.104)
Er (0.750, 0.346, 0.298)
Er (0.750, 0.765, 0.506)
Er (0.250, 0.449, 0.102)
Er (0.250, 0.046, 0.896)
Er (0.750, 0.847, 0.809)
Cd (0.750, 0.054, 0.391)
Cd (0.250, 0.946, 0.609)
Dy (0.250, 0.552, 0.401)
Dy (0.750, 0.655, 0.207)
Dy (0.250, 0.753, 0.008)
Dy (0.750, 0.247, 0.992)
Dy (0.750, 0.448, 0.599)
Dy (0.250, 0.345, 0.793)



The following is a DFT calculation (GGA-PBE) of an optimized crystal structure of ScCoBr.

D(E_F) ... 1.5 states/eV per cell
E_form (uncorrected) ... -0.47 eV/f.u.
Space-group type ... No. 187

a = 4.101 Å, b = 4.101 Å, c = 3.401 Å
α = 90.00°, β = 90.00°, γ = 120.00°
Element x y z (fractional)
Co (0.667, 0.333, 0.167)
Sc (0.333, 0.667, 0.666)
Br (0.000, 0.000, 0.166)



The following is a DFT calculation (GGA-PBE) of an optimized crystal structure of Ni2SbRh2.

Energy above the lowest structure with this stoichiometry ... 0.055 eV per atom
D(E_F) ... 15.2 states/eV per cell
E_form (uncorrected) ... 0.61 eV/f.u.
Space-group type ... No. 127

a = 6.833 Å, b = 6.833 Å, c = 3.224 Å
α = 90.00°, β = 90.00°, γ = 90.00°
Element x y z (fractional)
Rh (0.638, 0.138, 0.000)
Rh (0.138, 0.362, 0.000)
Rh (0.862, 0.638, 0.000)
Rh (0.362, 0.862, 0.000)
Sb (0.500, 0.500, 0.000)
Sb (0.000, 0.000, 0.000)
Ni (0.846, 0.346, 0.500)
Ni (0.154, 0.654, 0.500)
Ni (0.654, 0.846, 0.500)
Ni (0.346, 0.154, 0.500)



The following is a DFT calculation (GGA-PBE) of an optimized crystal structure of YBeV3.

Energy above the lowest structure with this stoichiometry ... 1.644 eV per atom
D(E_F) ... 8.0 states/eV per cell
Space-group type ... No. 221
Formation energy ... 2313.8 meV per atom

a = 4.563 Å, b = 4.563 Å, c = 4.563 Å
α = 90.00°, β = 90.00°, γ = 90.00°
Element x y z (fractional)
V (0.000, 0.500, 0.000)
V (0.000, 0.000, 0.500)
V (0.500, 0.000, 0.000)
Y (0.000, 0.000, 0.000)
Be (0.500, 0.500, 0.500)



The following is a DFT calculation (GGA-PBE) of an optimized crystal structure of LiCu3Pd4.

Energy above the lowest structure with this stoichiometry ... 0.000 eV per atom
D(E_F) ... 8.2 states/eV per cell
Space-group type ... No. 139
Formation energy ... -207.5 meV per atom

a = 4.269 Å, b = 4.269 Å, c = 6.724 Å
α = 108.47°, β = 108.51°, γ = 90.00°
Element x y z (fractional)
Cu (0.000, 0.500, 0.000)
Cu (0.248, 0.747, 0.495)
Cu (0.752, 0.253, 0.505)
Pd (0.624, 0.625, 0.249)
Pd (0.124, 0.124, 0.249)
Pd (0.376, 0.375, 0.751)
Pd (0.876, 0.876, 0.751)
Li (0.500, 0.000, 0.000)



The following is a DFT calculation (GGA-PBE) of an optimized crystal structure of LiScAlTl.

D(E_F) ... 1.6 states/eV per cell
Space-group type ... No. 216
Formation energy ... -213.5 meV per atom

a = 4.847 Å, b = 4.847 Å, c = 4.847 Å
α = 60.00°, β = 60.00°, γ = 60.00°
Element x y z (fractional)
Sc (0.750, 0.750, 0.750)
Tl (0.000, 0.000, 0.000)
Al (0.500, 0.500, 0.500)
Li (0.250, 0.250, 0.250)



The following is a DFT calculation (GGA-PBE) of an optimized crystal structure of YSi2Ag.

D(E_F) ... 2.2 states/eV per cell
E_form (uncorrected) ... -0.65 eV/f.u.
Space-group type ... No. 119

a = 5.442 Å, b = 5.442 Å, c = 5.442 Å
α = 136.25°, β = 136.25°, γ = 63.60°
Element x y z (fractional)
Y (0.500, 0.500, 0.000)
Si (0.000, 0.000, 0.000)
Si (0.250, 0.750, 0.500)
Ag (0.750, 0.250, 0.500)